Entry 1:
This record from Alexandria via LeMat-Bulk describes a crystal of BeTcRu2 relaxed with PBEsol. The functional is SCAN.

Computed properties:
DOS(E_F), states/eV per atom: 0.6761
Volume, A^3/atom: 12.03
Electronic total energy, eV per atom: -27.48
Magnetization, μB per formula unit: 0.0
Theoretical density, g cm⁻³: 10.67

Lattice parameters (Å, degrees): 2.785 2.785 6.202 90.00 90.00 90.00
Space group P4/mmm (No. 123)
One atom of each set of equivalent atoms:
Be (0.000, 0.000, 0.000)
Tc (0.000, 0.000, 0.500)
Ru (0.500, 0.500, 0.220)

***

Entry 2:
This record from Alexandria via LeMat-Bulk describes a crystal of Be2TcRu relaxed with PBEsol. The functional is SCAN.

Computed properties:
DOS(E_F), states/eV per atom: 0.8968
Volume, A^3/atom: 10.68
Electronic total energy, eV per atom: -19.82
Magnetization, μB per formula unit: 0.4
Theoretical density, g cm⁻³: 8.44

Lattice parameters (Å, degrees): 2.752 2.752 5.642 90.00 90.00 90.00
Space group P4/mmm (No. 123)
One atom of each set of equivalent atoms:
Be (0.000, 0.000, 0.232)
Tc (0.500, 0.500, 0.500)
Ru (0.500, 0.500, 0.000)

***

Entry 3:
This record from Alexandria via LeMat-Bulk describes a crystal of Be2TcRu relaxed with PBEsol. The functional is SCAN.

Computed properties:
DOS(E_F), states/eV per atom: 0.5046
Volume, A^3/atom: 10.59
Electronic total energy, eV per atom: -19.92
Magnetization, μB per formula unit: 0.0
Theoretical density, g cm⁻³: 8.51

Lattice parameters (Å, degrees): 3.619 2.756 8.492 90.00 90.00 90.00
Space group Amm2 (No. 38)
One atom of each set of equivalent atoms:
Be (0.000, 0.000, 0.000)
Be (0.500, 0.000, 0.136)
Tc (0.500, 0.000, 0.408)
Ru (0.000, 0.000, 0.724)

***

Entry 4:
This record from Alexandria via LeMat-Bulk describes a crystal of BeTcRu2 relaxed with PBEsol. The functional is SCAN.

Computed properties:
DOS(E_F), states/eV per atom: 1.0527
Volume, A^3/atom: 12.59
Electronic total energy, eV per atom: -27.21
Magnetization, μB per formula unit: 0.0
Theoretical density, g cm⁻³: 10.20

Lattice parameters (Å, degrees): 8.501 2.661 4.516 90.00 99.66 90.00
Space group C2/m (No. 12)
One atom of each set of equivalent atoms:
Be (0.000, 0.000, 0.000)
Tc (0.000, 0.500, 0.500)
Ru (0.248, 0.500, 0.239)